No. 1
Density functional theory data (PBE-GGA) for an optimized crystal structure of LiTi4S8.

Values from the calculation:
Energy above the lowest structure with this stoichiometry = 0.0 meV per atom
Space-group type = No. 12
Raw formation energy = -1352 meV/atom
Magnetization = 0.000 μB per atom
Electronic total energy = -84.09 eV per cell

Unit cell a=6.8172 b=6.8172 c=7.1891 alpha=103.39 beta=104.07 gamma=119.96
Closest atoms and distances in Å follow each position.
Element x y z (fractional)
S 0.1971 0.5287 0.2287  3 Ti 2.43-2.46, 1 Li 2.61
S 0.1980 0.0307 0.2287  3 Ti 2.41-2.42
S 0.8020 0.9693 0.7713  3 Ti 2.41-2.42
S 0.6964 0.5272 0.2236  3 Ti 2.44-2.46, 1 Li 2.61
S 0.8029 0.4713 0.7713  3 Ti 2.43-2.46, 1 Li 2.61
S 0.3000 0.9684 0.7713  3 Ti 2.43-2.46, 1 Li 2.61
S 0.3036 0.4728 0.7764  3 Ti 2.44-2.46, 1 Li 2.61
S 0.7000 0.0316 0.2287  3 Ti 2.43-2.46, 1 Li 2.61
Ti 0.7477 0.2451 0.9928  6 S 2.41-2.46
Ti 0.7537 0.7537 0.0000  6 S 2.42-2.44
Ti 0.2463 0.2463 0.0000  6 S 2.42-2.44
Ti 0.2523 0.7549 0.0072  6 S 2.41-2.46
Li 0.0000 0.5000 0.5000  6 S 2.61

---

No. 2
Density functional theory data (PBE-GGA) for an optimized crystal structure of Li3TiS4.

Values from the calculation:
Space-group type = No. 65
Raw formation energy = -1140 meV/atom
Magnetization = 0.000 μB per atom
Electronic total energy = -39.27 eV per cell

Unit cell a=3.5042 b=6.2672 c=6.2672 alpha=108.07 beta=90.00 gamma=90.00
Closest atoms and distances in Å follow each position.
Element x y z (fractional)
S 0.0000 0.2323 0.2323  2 Ti 2.45, 4 Li 2.54-2.64
S 0.0000 0.7677 0.7677  2 Ti 2.45, 4 Li 2.54-2.64
S 0.5000 0.7626 0.2374  1 Ti 2.41, 5 Li 2.54-2.66
S 0.5000 0.2374 0.7626  1 Ti 2.41, 5 Li 2.54-2.66
Li 0.5000 0.5000 0.5000  6 S 2.64-2.66
Li 0.0000 0.0000 0.5000  6 S 2.54
Li 0.0000 0.5000 0.0000  6 S 2.54
Ti 0.5000 0.0000 0.0000  6 S 2.41-2.45

---

No. 3
Density functional theory data (PBE-GGA) for an optimized crystal structure of LiTi3S4.

Values from the calculation:
Space-group type = No. 31
Raw formation energy = -1101 meV/atom
Magnetization = 0.000 μB per atom
Electronic total energy = -101.84 eV per cell

Unit cell a=6.3134 b=6.5651 c=7.6635 alpha=90.00 beta=90.00 gamma=90.00
Closest atoms and distances in Å follow each position.
Element x y z (fractional)
S 0.1025 0.7865 0.0000  3 Ti 2.34-2.43, 1 Li 2.41
S 0.1573 0.2968 0.2388  3 Ti 2.34-2.39, 1 Li 2.41
S 0.1573 0.2968 0.7612  3 Ti 2.34-2.39, 1 Li 2.41
S 0.5970 0.1241 0.0000  3 Ti 2.36-2.61, 1 Li 2.40
S 0.6573 0.7032 0.2612  3 Ti 2.34-2.39, 1 Li 2.41
S 0.6573 0.7032 0.7388  3 Ti 2.34-2.39, 1 Li 2.41
S 0.0970 0.8759 0.5000  3 Ti 2.36-2.61, 1 Li 2.40
S 0.6025 0.2135 0.5000  3 Ti 2.34-2.43, 1 Li 2.41
Ti 0.4704 0.7462 0.0000  4 S 2.34-2.61
Ti 0.0268 0.6313 0.7186  4 S 2.36-2.43
Ti 0.9704 0.2538 0.5000  4 S 2.34-2.61
Ti 0.5268 0.3687 0.2186  4 S 2.36-2.43
Ti 0.5268 0.3687 0.7814  4 S 2.36-2.43
Ti 0.0268 0.6313 0.2814  4 S 2.36-2.43
Li 0.9772 0.1334 0.0000  4 S 2.40-2.41
Li 0.4772 0.8666 0.5000  4 S 2.40-2.41

---

No. 4
Density functional theory data (PBE-GGA) for an optimized crystal structure of Li8TiS6.

Values from the calculation:
Energy above the lowest structure with this stoichiometry = 75.6 meV per atom
Space-group type = No. 31
Raw formation energy = -1250 meV/atom
Magnetization = 0.000 μB per atom
Electronic total energy = -133.45 eV per cell

Unit cell a=7.4270 b=6.9915 c=10.4595 alpha=90.00 beta=90.00 gamma=90.00
Closest atoms and distances in Å follow each position.
Element x y z (fractional)
Li 0.0744 0.2898 0.6686  4 S 2.46-2.61, 1 Li 2.72
Li 0.5597 0.7819 0.1770  4 S 2.44-2.52, 1 Li 2.72
Li 0.7423 0.5000 0.0161  3 S 2.26-2.44
Li 0.9256 0.7898 0.1686  4 S 2.46-2.61, 1 Li 2.72
Li 0.6334 0.5000 0.4537  4 S 2.46-2.73
Li 0.7630 0.7775 0.8446  4 S 2.45-2.73, 1 Li 2.65
Li 0.2577 0.0000 0.5161  3 S 2.26-2.44
Li 0.7630 0.2225 0.8446  4 S 2.45-2.73, 1 Li 2.65
Li 0.0744 0.7102 0.6686  4 S 2.46-2.61, 1 Li 2.72
Li 0.4403 0.7181 0.6770  4 S 2.44-2.52, 1 Li 2.72
Li 0.4403 0.2819 0.6770  4 S 2.44-2.52, 1 Li 2.72
Li 0.3666 0.0000 0.9537  4 S 2.46-2.73
Li 0.2370 0.7225 0.3446  4 S 2.45-2.73, 1 Li 2.65
Li 0.2370 0.2775 0.3446  4 S 2.45-2.73, 1 Li 2.65
Li 0.9256 0.2102 0.1686  4 S 2.46-2.61, 1 Li 2.72
Li 0.5597 0.2181 0.1770  4 S 2.44-2.52, 1 Li 2.72
S 0.9884 0.5000 0.8615  1 Ti 2.31, 5 Li 2.44-2.58
S 0.2547 0.0000 0.7326  6 Li 2.26-2.52
S 0.2454 0.2435 0.1111  1 Ti 2.24, 3 Li 2.44-2.46
S 0.7453 0.5000 0.2326  6 Li 2.26-2.52
S 0.0116 0.0000 0.3615  1 Ti 2.31, 5 Li 2.44-2.58
S 0.2454 0.7565 0.1111  1 Ti 2.24, 3 Li 2.44-2.46
S 0.5058 0.5000 0.8630  1 Ti 2.30, 3 Li 2.38-2.52
S 0.7546 0.2565 0.6111  1 Ti 2.24, 3 Li 2.44-2.46
S 0.7204 0.0000 0.0230  7 Li 2.45-2.73
S 0.4942 0.0000 0.3630  1 Ti 2.30, 3 Li 2.38-2.52
S 0.7546 0.7435 0.6111  1 Ti 2.24, 3 Li 2.44-2.46
S 0.2796 0.5000 0.5230  7 Li 2.45-2.73
Ti 0.7530 0.0000 0.4836  4 S 2.24-2.31
Ti 0.2470 0.5000 0.9836  4 S 2.24-2.31

---

No. 5
Density functional theory data (PBE-GGA) for an optimized crystal structure of Li3Ti4S8.

Values from the calculation:
Space-group type = No. 12
Raw formation energy = -1338 meV/atom
Magnetization = 0.000 μB per atom
Electronic total energy = -90.41 eV per cell

Unit cell a=6.9332 b=7.0062 c=7.0062 alpha=90.84 beta=119.06 gamma=119.06
Closest atoms and distances in Å follow each position.
Element x y z (fractional)
Li 0.5000 0.5000 0.0000  6 S 2.46-2.50
Li 0.5000 0.0000 0.5000  6 S 2.46-2.50
Li 0.5000 0.5000 0.5000  6 S 2.51-2.52
S 0.4822 0.2348 0.2348  2 Ti 2.40-2.41, 3 Li 2.50-2.52
S 0.0043 0.7488 0.7488  4 Ti 2.48-2.50, 1 Li 2.52
S 0.0000 0.2484 0.7516  3 Ti 2.46-2.48, 2 Li 2.50
S 0.9957 0.2512 0.2512  4 Ti 2.48-2.50, 1 Li 2.52
S 0.5000 0.2483 0.7517  3 Li 2.46-2.51, 3 Ti 2.48-2.50
S 0.5178 0.7652 0.7652  2 Ti 2.40-2.41, 3 Li 2.50-2.52
S 0.0000 0.7516 0.2484  3 Ti 2.46-2.48, 2 Li 2.50
S 0.5000 0.7517 0.2483  3 Li 2.46-2.51, 3 Ti 2.48-2.50
Ti 0.5000 0.0000 0.0000  6 S 2.40-2.48
Ti 0.0000 0.0000 0.5000  6 S 2.46-2.50
Ti 0.0000 0.5000 0.0000  6 S 2.46-2.50
Ti 0.0000 0.0000 0.0000  6 S 2.41-2.49

---

No. 6
Density functional theory data (PBE-GGA) for an optimized crystal structure of Li2TiS3.

Values from the calculation:
Energy above the lowest structure with this stoichiometry = 0.0 meV per atom
Space-group type = No. 12
Raw formation energy = -1340 meV/atom
Magnetization = 0.000 μB per atom
Electronic total energy = -64.28 eV per cell

Unit cell a=6.1796 b=6.3366 c=6.1822 alpha=80.54 beta=60.01 gamma=70.80
Closest atoms and distances in Å follow each position.
Element x y z (fractional)
S 0.5697 0.2331 0.3520  2 Ti 2.43-2.44, 4 Li 2.54-2.66
S 0.4303 0.7669 0.6480  2 Ti 2.43-2.44, 4 Li 2.54-2.66
S 0.0783 0.7669 0.3520  2 Ti 2.43-2.44, 4 Li 2.54-2.66
S 0.2735 0.2344 0.0000  2 Ti 2.46, 4 Li 2.52-2.62
S 0.7265 0.7656 0.0000  2 Ti 2.46, 4 Li 2.52-2.62
S 0.9217 0.2331 0.6480  2 Ti 2.43-2.44, 4 Li 2.54-2.66
Li 0.0000 0.0000 0.0000  6 S 2.58-2.59
Li 0.1626 0.5000 0.6747  6 S 2.54-2.66
Li 0.5000 0.5000 0.0000  6 S 2.52-2.65
Li 0.8374 0.5000 0.3253  6 S 2.54-2.66
Ti 0.6680 0.0000 0.6641  6 S 2.43-2.46
Ti 0.3320 0.0000 0.3359  6 S 2.43-2.46

---

No. 7
Density functional theory data (PBE-GGA) for an optimized crystal structure of LiTi3S6.

Values from the calculation:
Energy above the lowest structure with this stoichiometry = 82.9 meV per atom
Space-group type = No. 146
Raw formation energy = -1263 meV/atom
Magnetization = 0.001 μB per atom
Electronic total energy = -62.99 eV per cell

Unit cell a=6.1160 b=6.1160 c=6.6552 alpha=62.65 beta=62.65 gamma=60.00
Closest atoms and distances in Å follow each position.
Element x y z (fractional)
S 0.0752 0.4172 0.7585  3 Ti 2.43-2.47, 1 Li 2.63
S 0.4172 0.7491 0.7585  3 Ti 2.43-2.47, 1 Li 2.63
S 0.2757 0.9189 0.2543  3 Ti 2.42-2.44, 1 Li 2.49
S 0.9189 0.5511 0.2543  3 Ti 2.42-2.44, 1 Li 2.49
S 0.7491 0.0752 0.7585  3 Ti 2.43-2.47, 1 Li 2.63
S 0.5511 0.2757 0.2543  3 Ti 2.42-2.44, 1 Li 2.49
Ti 0.1627 0.1627 0.5120  6 S 2.42-2.47
Ti 0.3359 0.3359 0.9924  6 S 2.44-2.45
Ti 0.6666 0.6666 0.0001  6 S 2.43-2.44
Li 0.8476 0.8476 0.4571  6 S 2.49-2.63

---

No. 8
Density functional theory data (PBE-GGA) for an optimized crystal structure of LiTiS2.

Values from the calculation:
Space-group type = No. 225
Raw formation energy = -917 meV/atom
Magnetization = 0.258 μB per atom
Electronic total energy = -21.73 eV per cell

Unit cell a=4.3949 b=4.3949 c=4.3949 alpha=60.00 beta=60.00 gamma=60.00
Closest atoms and distances in Å follow each position.
Element x y z (fractional)
Ti 0.5000 0.5000 0.5000  8 S 2.69
S 0.7500 0.7500 0.7500  4 Li 2.69, 4 Ti 2.69
S 0.2500 0.2500 0.2500  4 Ti 2.69, 4 Li 2.69
Li 0.0000 0.0000 0.0000  8 S 2.69

---

No. 9
Density functional theory data (PBE-GGA) for an optimized crystal structure of LiTiS2.

Values from the calculation:
Space-group type = No. 227
Raw formation energy = -1393 meV/atom
Magnetization = 0.103 μB per atom
Electronic total energy = -94.54 eV per cell

Unit cell a=7.1110 b=7.1110 c=7.1110 alpha=60.00 beta=60.00 gamma=60.00
Closest atoms and distances in Å follow each position.
Element x y z (fractional)
Ti 0.6250 0.1250 0.6250  6 S 2.48
Ti 0.1250 0.6250 0.6250  6 S 2.48
Ti 0.6250 0.6250 0.1250  6 S 2.48
Ti 0.6250 0.6250 0.6250  6 S 2.48
S 0.8720 0.8720 0.3839  3 Ti 2.48, 3 Li 2.54
S 0.3780 0.3780 0.3780  3 Ti 2.48, 3 Li 2.54
S 0.3780 0.8661 0.3780  3 Ti 2.48, 3 Li 2.54
S 0.8720 0.3839 0.8720  3 Ti 2.48, 3 Li 2.54
S 0.8720 0.8720 0.8720  3 Ti 2.48, 3 Li 2.54
S 0.3839 0.8720 0.8720  3 Ti 2.48, 3 Li 2.54
S 0.3780 0.3780 0.8661  3 Ti 2.48, 3 Li 2.54
S 0.8661 0.3780 0.3780  3 Ti 2.48, 3 Li 2.54
Li 0.1250 0.1250 0.1250  6 S 2.54
Li 0.1250 0.6250 0.1250  6 S 2.54
Li 0.1250 0.1250 0.6250  6 S 2.54
Li 0.6250 0.1250 0.1250  6 S 2.54